Here is a geometry-optimized NdTaZn structure from OQMD. Energies are from PBE.

a b c (Å): 4.673 4.673 4.673
angles (deg): 60.00 60.00 60.00
Fractional positions:
1 Ta 0.750 0.750 0.750
2 Zn 0.000 0.000 0.000
3 Nd 0.250 0.250 0.250

Values from the calculation:
Volume in Å³/atom: 24.05
Total energy in eV/atom: -5.300

***

Here is a geometry-optimized Tb2Nd structure from OQMD. Energies are from PBE.

a b c (Å): 6.632 6.632 6.632
angles (deg): 60.00 60.00 60.00
Site moments in Bohr magnetons follow the coordinates.
Fractional positions:
1 Nd 0.000 0.000 0.000  0.18
2 Nd 0.250 0.250 0.250  0.18
3 Tb 0.625 0.625 0.625  0.04
4 Tb 0.125 0.625 0.625  0.08
5 Tb 0.625 0.125 0.625  0.03
6 Tb 0.625 0.625 0.125  0.03

Values from the calculation:
Volume in Å³/atom: 34.37
Offset from the most stable computed form in meV/atom: 0

***

Here is a geometry-optimized Tb2Nd structure from OQMD. Energies are from PBE.

a b c (Å): 5.476 5.476 5.476
angles (deg): 60.00 60.00 60.00
Fractional positions:
1 Tb 0.750 0.750 0.750
2 Tb 0.250 0.250 0.250
3 Nd 0.000 0.000 0.000

Values from the calculation:
Volume in Å³/atom: 38.71
Offset from the most stable computed form in meV/atom: 480

***

Here is a geometry-optimized TbNd2 structure from OQMD. Energies are from PBE.

a b c (Å): 5.528 5.528 5.528
angles (deg): 60.00 60.00 60.00
Fractional positions:
1 Tb 0.000 0.000 0.000
2 Nd 0.750 0.750 0.750
3 Nd 0.250 0.250 0.250

Values from the calculation:
Volume in Å³/atom: 39.82
Offset from the most stable computed form in meV/atom: 433

***

Here is a geometry-optimized Tb2Nd structure from OQMD. Energies are from PBE.

a b c (Å): 8.960 8.960 8.960
angles (deg): 60.00 60.00 60.00
Fractional positions:
1 Tb 0.000 0.000 0.000
2 Tb 0.000 0.000 0.500
3 Nd 0.125 0.125 0.125
4 Tb 0.500 0.000 0.000
5 Nd 0.875 0.875 0.875
6 Tb 0.000 0.500 0.000

Values from the calculation:
Volume in Å³/atom: 84.77
Offset from the most stable computed form in meV/atom: 2140

***

Here is a geometry-optimized TbNd structure from OQMD. Energies are from PBE.

a b c (Å): 4.593 4.593 4.593
angles (deg): 60.00 60.00 60.00
Site moments in Bohr magnetons follow the coordinates.
Fractional positions:
1 Nd 0.000 0.000 0.000  0.18
2 Tb 0.500 0.500 0.500  0.24

Values from the calculation:
Volume in Å³/atom: 34.26
Offset from the most stable computed form in meV/atom: 647

***

Here is a geometry-optimized TbNd2 structure from OQMD. Energies are from PBE.

a b c (Å): 9.018 9.018 9.018
angles (deg): 60.00 60.00 60.00
Fractional positions:
1 Nd 0.375 0.375 0.375
2 Nd 0.375 0.875 0.375
3 Tb 0.500 0.500 0.500
4 Tb 0.250 0.250 0.250
5 Nd 0.375 0.375 0.875
6 Nd 0.875 0.375 0.375

Values from the calculation:
Volume in Å³/atom: 86.42
Offset from the most stable computed form in meV/atom: 1932

***

Here is a geometry-optimized TbNd structure from OQMD. Energies are from PBE.

a b c (Å): 4.918 4.918 4.918
angles (deg): 60.00 60.00 60.00
Fractional positions:
1 Nd 0.000 0.000 0.000
2 Tb 0.250 0.250 0.250

Values from the calculation:
Volume in Å³/atom: 42.04
Offset from the most stable computed form in meV/atom: 1708